CrTe2PbO8 | GGA+U | optimized geometry Values from VASP.

Raw total energy ... -69.2 eV for the cell shown
Space-group type ... P-3 (147)
M_tot ... 0.168 μB per atom
ρ ... 5.7 g/cm³

Geometry as Quantum ESPRESSO input:
```
&SYSTEM
  ibrav = 0, nat = 12, ntyp = 4
/
ATOMIC_SPECIES
O 16.00 O.upf
Pb 207.20 Pb.upf
Cr 52.00 Cr.upf
Te 127.60 Te.upf
ATOMIC_POSITIONS crystal
O 0.6667 0.3333 0.0301
O 0.3333 0.6667 0.9699
O 0.7062 0.7267 0.6719
O 0.2938 0.2733 0.3281
O 0.9795 0.7062 0.3281
O 0.7267 0.0205 0.3281
Pb 0.0000 0.0000 0.0000
Cr 0.0000 0.0000 0.5000
Te 0.3333 0.6667 0.7154
O 0.0205 0.2938 0.6719
Te 0.6667 0.3333 0.2846
O 0.2733 0.9795 0.6719
CELL_PARAMETERS angstrom
5.4809 0.0000 0.0000
-2.7404 4.7466 0.0000
0.0000 0.0000 7.2111
```